The following is a DFT calculation (PBE) of an optimized crystal structure of KAgAsIr.

abc: 4.028 4.028 12.420
angles: 90.00 90.00 90.00
Positions (direct):
K1 0.250 0.250 0.233
K2 0.750 0.750 0.767
Ag1 0.250 0.750 0.000
Ag2 0.750 0.250 0.000
As1 0.250 0.250 0.615
As2 0.750 0.750 0.385
Ir1 0.250 0.750 0.500
Ir2 0.750 0.250 0.500

Properties
Size of the total moment   0.0 μB per formula unit
SG   P4/nmm
ΔH_f (0 K)   -0.2526 eV/atom